(1)
DFT (PBE-GGA) results for crystalline LiGdGa2 at its relaxed geometry.

Structure (POSCAR):
```
LiGdGa2
1.0
4.738 0.000 0.000
0.000 4.738 0.000
0.000 0.000 3.720
Li Gd Ga
1 1 2
Direct
0.000 0.000 0.000
0.500 0.500 0.000
0.000 0.500 0.500
0.500 0.000 0.500
```

Calculated values
* energy of formation from the pure elements: -415 meV per atom
* space-group type: P4/mmm
* V: 20.87 A^3/atom
* N(E_F): 1.1 states/eV/f.u.

***

(2)
DFT (PBE-GGA) results for crystalline Li5Cu3Br12 at its relaxed geometry.

Structure (POSCAR):
```
Li5Cu3Br12
1.0
-8.176 8.176 8.176
8.176 -8.176 8.176
8.176 8.176 -8.176
Li Cu Br
20 12 48
Direct
0.000 0.000 0.000
0.000 0.000 0.500
0.000 0.500 0.000
0.000 0.500 0.500
0.125 0.750 0.875
0.125 0.875 0.250
0.250 0.125 0.875
0.250 0.625 0.375
0.375 0.250 0.625
0.375 0.625 0.750
0.500 0.000 0.000
0.500 0.000 0.500
0.500 0.500 0.000
0.500 0.500 0.500
0.625 0.375 0.250
0.625 0.750 0.375
0.750 0.375 0.625
0.750 0.875 0.125
0.875 0.125 0.750
0.875 0.250 0.125
0.125 0.250 0.375
0.125 0.375 0.750
0.250 0.375 0.125
0.250 0.875 0.625
0.375 0.125 0.250
0.375 0.750 0.125
0.625 0.250 0.875
0.625 0.875 0.750
0.750 0.125 0.375
0.750 0.625 0.875
0.875 0.625 0.250
0.875 0.750 0.625
0.025 0.639 0.203
0.025 0.886 0.822
0.064 0.178 0.703
0.064 0.386 0.361
0.114 0.178 0.975
0.114 0.436 0.139
0.139 0.114 0.436
0.139 0.525 0.703
0.178 0.703 0.064
0.178 0.975 0.114
0.203 0.025 0.639
0.203 0.678 0.564
0.297 0.861 0.475
0.297 0.936 0.822
0.322 0.386 0.525
0.322 0.436 0.797
0.361 0.064 0.386
0.361 0.797 0.975
0.386 0.361 0.064
0.386 0.525 0.322
0.436 0.139 0.114
0.436 0.797 0.322
0.475 0.297 0.861
0.475 0.678 0.614
0.525 0.322 0.386
0.525 0.703 0.139
0.564 0.203 0.678
0.564 0.861 0.886
0.614 0.475 0.678
0.614 0.639 0.936
0.639 0.203 0.025
0.639 0.936 0.614
0.678 0.564 0.203
0.678 0.614 0.475
0.703 0.064 0.178
0.703 0.139 0.525
0.797 0.322 0.436
0.797 0.975 0.361
0.822 0.025 0.886
0.822 0.297 0.936
0.861 0.475 0.297
0.861 0.886 0.564
0.886 0.564 0.861
0.886 0.822 0.025
0.936 0.614 0.639
0.936 0.822 0.297
0.975 0.114 0.178
0.975 0.361 0.797
```

Calculated values
* space-group type: Ia-3d
* V: 27.32 A^3/atom
* N(E_F): 8.4 states/eV/f.u.
* energy relative to the elements, uncorrected: -0.7922 eV/atom

***

(3)
DFT (PBE-GGA) results for crystalline As2HAuSe at its relaxed geometry.

Structure (POSCAR):
```
As2HAuSe
1.0
3.991 0.000 0.000
0.000 3.991 0.000
0.000 0.000 5.313
As H Au Se
2 1 1 1
Direct
0.000 0.500 0.000
0.500 0.000 0.000
0.000 0.000 0.000
0.500 0.500 0.500
0.000 0.000 0.500
```

Calculated values
* space-group type: P4/mmm
* V: 16.92 A^3/atom
* N(E_F): 3.1 states/eV/f.u.
* relative energy among the computed polymorphs: 0.000 eV/f.u.

***

(4)
DFT (PBE-GGA) results for crystalline Hf2CrS at its relaxed geometry.

Structure (POSCAR):
```
Hf2CrS
1.0
3.191 0.000 0.000
-1.596 2.764 0.000
0.000 0.000 26.592
Hf Cr S
6 3 3
Direct
0.000 0.000 0.098
0.000 0.000 0.902
0.333 0.667 0.569
0.333 0.667 0.764
0.667 0.333 0.236
0.667 0.333 0.431
0.000 0.000 0.000
0.333 0.667 0.667
0.667 0.333 0.333
0.000 0.000 0.500
0.333 0.667 0.167
0.667 0.333 0.833
```

Calculated values
* space-group type: R-3m
* V: 19.54 A^3/atom
* N(E_F): 2.8 states/eV/f.u.
* energy relative to the elements, uncorrected: 0.0552 eV/atom
* relative energy among the computed polymorphs: 0.000 eV/f.u.

***

(5)
DFT (PBE-GGA) results for crystalline CeCu7O12 at its relaxed geometry.

Structure (POSCAR):
```
CeCu7O12
1.0
-3.677 3.677 3.677
3.677 -3.677 3.677
3.677 3.677 -3.677
Ce Cu O
1 7 12
Direct
0.000 0.000 0.000
0.000 0.000 0.500
0.000 0.500 0.000
0.000 0.500 0.500
0.500 0.000 0.000
0.500 0.000 0.500
0.500 0.500 0.000
0.500 0.500 0.500
0.137 0.832 0.306
0.168 0.306 0.474
0.168 0.694 0.863
0.306 0.137 0.832
0.306 0.474 0.168
0.474 0.168 0.306
0.526 0.832 0.694
0.694 0.526 0.832
0.694 0.863 0.168
0.832 0.306 0.137
0.832 0.694 0.526
0.863 0.168 0.694
```

Calculated values
* space-group type: Im-3
* V: 9.94 A^3/atom
* N(E_F): 10.0 states/eV/f.u.
* energy relative to the elements, uncorrected: -0.8926 eV/atom

***

(6)
DFT (PBE-GGA) results for crystalline La2Hf2Ru at its relaxed geometry.

Structure (POSCAR):
```
La2Hf2Ru
1.0
6.828 0.000 0.000
0.000 6.828 0.000
0.000 0.000 5.624
La Hf Ru
4 4 2
Direct
0.169 0.331 0.000
0.331 0.831 0.000
0.669 0.169 0.000
0.831 0.669 0.000
0.158 0.658 0.500
0.342 0.158 0.500
0.658 0.842 0.500
0.842 0.342 0.500
0.000 0.000 0.500
0.500 0.500 0.500
```

Calculated values
* energy of formation from the pure elements: -35 meV per atom
* space-group type: P4/mbm
* V: 26.22 A^3/atom
* N(E_F): 5.2 states/eV/f.u.
* relative energy among the computed polymorphs: 0.000 eV/f.u.

***

(7)
DFT (PBE-GGA) results for crystalline SmErGaPt at its relaxed geometry.

Structure (POSCAR):
```
SmErGaPt
1.0
4.477 0.000 0.000
0.000 3.802 0.000
0.000 0.000 10.997
Sm Er Ga Pt
2 2 2 2
Direct
0.000 0.000 0.000
0.000 0.500 0.500
0.500 0.000 0.719
0.500 0.500 0.219
0.000 0.000 0.277
0.000 0.500 0.777
0.500 0.000 0.429
0.500 0.500 0.929
```

Calculated values
* energy of formation from the pure elements: -907 meV per atom
* space-group type: Amm2
* V: 23.40 A^3/atom
* N(E_F): 2.9 states/eV/f.u.
* relative energy among the computed polymorphs: 0.000 eV/f.u.

***

(8)
DFT (PBE-GGA) results for crystalline Pm2CdI8 at its relaxed geometry.

Structure (POSCAR):
```
Pm2CdI8
1.0
7.370 -5.741 0.000
7.370 5.741 0.000
-0.694 0.000 7.463
Pm Cd I
2 1 8
Direct
0.186 0.186 0.140
0.814 0.814 0.860
0.000 0.000 0.500
0.115 0.727 0.718
0.183 0.183 0.739
0.273 0.885 0.282
0.377 0.377 0.272
0.623 0.623 0.728
0.727 0.115 0.718
0.817 0.817 0.261
0.885 0.273 0.282
```

Calculated values
* space-group type: C2/m
* V: 57.41 A^3/atom
* N(E_F): 0.0 states/eV/f.u.
* energy relative to the elements, uncorrected: -1.0248 eV/atom

***

(9)
DFT (PBE-GGA) results for crystalline Pm2PrSmY6 at its relaxed geometry.

Structure (POSCAR):
```
Pm2PrSmY6
1.0
4.571 -7.530 0.000
4.571 7.530 0.000
-1.800 0.000 9.769
Pm Pr Sm Y
4 2 2 12
Direct
0.189 0.286 0.044
0.286 0.189 0.544
0.714 0.811 0.456
0.811 0.714 0.956
0.404 0.596 0.750
0.596 0.404 0.250
0.017 0.983 0.250
0.983 0.017 0.750
0.026 0.577 0.183
0.119 0.742 0.556
0.258 0.881 0.944
0.298 0.505 0.381
0.423 0.974 0.317
0.495 0.702 0.119
0.505 0.298 0.881
0.577 0.026 0.683
0.702 0.495 0.619
0.742 0.119 0.056
0.881 0.258 0.444
0.974 0.423 0.817
```

Calculated values
* energy of formation from the pure elements: 117 meV per atom
* space-group type: C2/c
* V: 33.62 A^3/atom
* N(E_F): 16.1 states/eV/f.u.

***

(10)
DFT (PBE-GGA) results for crystalline Sm4AlHg at its relaxed geometry.

Structure (POSCAR):
```
Sm4AlHg
1.0
13.038 0.000 0.000
0.000 3.712 0.000
-2.162 0.000 7.199
Sm Al Hg
8 2 2
Direct
0.149 0.000 0.319
0.151 0.000 0.830
0.349 0.500 0.170
0.351 0.500 0.681
0.649 0.500 0.319
0.651 0.500 0.830
0.849 0.000 0.170
0.851 0.000 0.681
0.000 0.500 0.000
0.500 0.000 0.000
0.000 0.500 0.500
0.500 0.000 0.500
```

Calculated values
* energy of formation from the pure elements: -243 meV per atom
* space-group type: C2/m
* V: 29.04 A^3/atom
* N(E_F): 7.5 states/eV/f.u.
* relative energy among the computed polymorphs: 0.000 eV/f.u.

***

(11)
DFT (PBE-GGA) results for crystalline SrMgSi2 at its relaxed geometry.

Structure (POSCAR):
```
SrMgSi2
1.0
3.684 0.000 0.000
0.000 3.684 0.000
0.000 0.000 6.650
Sr Mg Si
1 1 2
Direct
0.000 0.000 0.000
0.000 0.000 0.500
0.500 0.500 0.320
0.500 0.500 0.680
```

Calculated values
* space-group type: P4/mmm
* V: 22.56 A^3/atom
* N(E_F): 1.5 states/eV/f.u.
* energy relative to the elements, uncorrected: -0.1300 eV/atom

***

(12)
DFT (PBE-GGA) results for crystalline AcHf2S at its relaxed geometry.

Structure (POSCAR):
```
AcHf2S
1.0
3.581 0.000 0.000
-1.790 3.101 0.000
0.000 0.000 28.446
Ac Hf S
3 6 3
Direct
0.000 0.000 0.000
0.333 0.667 0.667
0.667 0.333 0.333
0.000 0.000 0.118
0.000 0.000 0.882
0.333 0.667 0.548
0.333 0.667 0.785
0.667 0.333 0.215
0.667 0.333 0.452
0.000 0.000 0.500
0.333 0.667 0.167
0.667 0.333 0.833
```

Calculated values
* space-group type: R-3m
* V: 26.33 A^3/atom
* N(E_F): 3.3 states/eV/f.u.
* energy relative to the elements, uncorrected: -0.2453 eV/atom

***

(13)
DFT (PBE-GGA) results for crystalline Sm2RhPb at its relaxed geometry.

Structure (POSCAR):
```
Sm2RhPb
1.0
3.547 0.000 0.000
0.000 3.547 0.000
0.000 0.000 8.164
Sm Rh Pb
2 1 1
Direct
0.000 0.000 0.208
0.000 0.000 0.792
0.500 0.500 0.000
0.500 0.500 0.500
```

Calculated values
* energy of formation from the pure elements: -626 meV per atom
* space-group type: P4/mmm
* V: 25.68 A^3/atom
* N(E_F): 2.3 states/eV/f.u.
* relative energy among the computed polymorphs: 0.000 eV/f.u.

***

(14)
DFT (PBE-GGA) results for crystalline Cs3La2TmO6 at its relaxed geometry.

Structure (POSCAR):
```
Cs3La2TmO6
1.0
3.192 -5.534 0.000
3.192 5.534 0.000
-2.114 0.000 6.922
Cs La Tm O
3 2 1 6
Direct
0.000 0.000 0.000
0.335 0.665 0.000
0.665 0.335 0.000
0.167 0.833 0.500
0.833 0.167 0.500
0.500 0.500 0.500
0.129 0.444 0.334
0.240 0.240 0.668
0.444 0.129 0.334
0.556 0.871 0.666
0.760 0.760 0.332
0.871 0.556 0.666
```

Calculated values
* space-group type: C2/m
* V: 20.38 A^3/atom
* N(E_F): 0.0 states/eV/f.u.
* energy relative to the elements, uncorrected: -2.5954 eV/atom

***

(15)
DFT (PBE-GGA) results for crystalline LiSmTmFe at its relaxed geometry.

Structure (POSCAR):
```
LiSmTmFe
1.0
6.874 0.000 0.000
0.000 6.874 0.000
0.000 0.000 6.874
Li Sm Tm Fe
4 4 4 4
Direct
0.000 0.000 0.000
0.000 0.500 0.500
0.500 0.000 0.500
0.500 0.500 0.000
0.250 0.250 0.250
0.250 0.750 0.750
0.750 0.250 0.750
0.750 0.750 0.250
0.250 0.250 0.750
0.250 0.750 0.250
0.750 0.250 0.250
0.750 0.750 0.750
0.000 0.000 0.500
0.000 0.500 0.000
0.500 0.000 0.000
0.500 0.500 0.500
```

Calculated values
* energy of formation from the pure elements: 102 meV per atom
* space-group type: F-43m
* V: 20.30 A^3/atom
* N(E_F): 2.8 states/eV/f.u.

***

(16)
DFT (PBE-GGA) results for crystalline PmNdAlCd at its relaxed geometry.

Structure (POSCAR):
```
PmNdAlCd
1.0
3.611 0.000 0.000
0.000 3.611 0.000
0.000 0.000 8.244
Pm Nd Al Cd
1 1 1 1
Direct
0.000 0.000 0.000
0.000 0.000 0.473
0.500 0.500 0.234
0.500 0.500 0.740
```

Calculated values
* energy of formation from the pure elements: -348 meV per atom
* space-group type: P4mm
* V: 26.87 A^3/atom
* N(E_F): 2.2 states/eV/f.u.
* relative energy among the computed polymorphs: 0.000 eV/f.u.

***

(17)
DFT (PBE-GGA) results for crystalline Cu5Te at its relaxed geometry.

Structure (POSCAR):
```
Cu5Te
1.0
8.078 0.000 0.000
0.000 3.654 0.000
-1.728 0.000 5.990
Cu Te
10 2
Direct
0.000 0.000 0.000
0.160 0.500 0.273
0.169 0.500 0.870
0.331 0.000 0.130
0.340 0.000 0.727
0.500 0.500 0.000
0.660 0.000 0.273
0.669 0.000 0.870
0.831 0.500 0.130
0.840 0.500 0.727
0.000 0.000 0.500
0.500 0.500 0.500
```

Calculated values
* space-group type: C2/m
* V: 14.73 A^3/atom
* N(E_F): 2.0 states/eV/f.u.
* energy relative to the elements, uncorrected: 0.1069 eV/atom
* relative energy among the computed polymorphs: 0.051 eV/f.u.

***

(18)
DFT (PBE-GGA) results for crystalline AcTb2Sm2 at its relaxed geometry.

Structure (POSCAR):
```
AcTb2Sm2
1.0
11.566 0.000 0.000
0.000 5.225 0.000
-5.775 0.000 5.806
Ac Tb Sm
2 4 4
Direct
0.000 0.000 0.000
0.500 0.500 0.000
0.197 0.000 0.794
0.303 0.500 0.206
0.697 0.500 0.794
0.803 0.000 0.206
0.097 0.500 0.399
0.403 0.000 0.601
0.597 0.000 0.399
0.903 0.500 0.601
```

Calculated values
* energy of formation from the pure elements: 43 meV per atom
* space-group type: C2/m
* V: 35.09 A^3/atom
* N(E_F): 7.7 states/eV/f.u.
* relative energy among the computed polymorphs: 0.000 eV/f.u.

***

(19)
DFT (PBE-GGA) results for crystalline CaAl2O4 at its relaxed geometry.

Structure (POSCAR):
```
CaAl2O4
1.0
8.997 0.000 0.000
0.000 2.899 0.000
0.000 0.000 10.411
Ca Al O
4 8 16
Direct
0.242 0.250 0.155
0.258 0.750 0.655
0.742 0.250 0.345
0.758 0.750 0.845
0.062 0.250 0.389
0.081 0.250 0.897
0.419 0.750 0.397
0.438 0.750 0.889
0.562 0.250 0.111
0.581 0.250 0.603
0.919 0.750 0.103
0.938 0.750 0.611
0.026 0.750 0.785
0.077 0.250 0.572
0.114 0.750 0.020
0.203 0.750 0.346
0.297 0.250 0.846
0.386 0.250 0.520
0.423 0.750 0.072
0.474 0.250 0.285
0.526 0.750 0.715
0.577 0.250 0.928
0.614 0.750 0.480
0.703 0.750 0.154
0.797 0.250 0.654
0.886 0.250 0.980
0.923 0.750 0.428
0.974 0.250 0.215
```

Calculated values
* space-group type: Pnma
* V: 9.70 A^3/atom
* N(E_F): 0.0 states/eV/f.u.
* energy relative to the elements, uncorrected: -2.9982 eV/atom
* relative energy among the computed polymorphs: 0.398 eV/f.u.

***

(20)
DFT (PBE-GGA) results for crystalline SrSb12Ir4 at its relaxed geometry.

Structure (POSCAR):
```
SrSb12Ir4
1.0
-4.744 4.744 4.744
4.744 -4.744 4.744
4.744 4.744 -4.744
Sr Sb Ir
1 12 4
Direct
0.000 0.000 0.000
0.156 0.340 0.496
0.156 0.660 0.816
0.184 0.844 0.340
0.340 0.184 0.844
0.340 0.496 0.156
0.496 0.156 0.340
0.504 0.844 0.660
0.660 0.504 0.844
0.660 0.816 0.156
0.816 0.156 0.660
0.844 0.340 0.184
0.844 0.660 0.504
0.000 0.000 0.500
0.000 0.500 0.000
0.500 0.000 0.000
0.500 0.500 0.500
```

Calculated values
* space-group type: Im-3
* V: 25.12 A^3/atom
* N(E_F): 5.3 states/eV/f.u.
* energy relative to the elements, uncorrected: -0.3839 eV/atom